# 1
Material: ScCl2O
Method: DFT, SCAN
State: PBEsol geometry

Calculated values
Formation energy from raw total energies: -0.13 eV per atom
Crystal system: trigonal

Cell lengths 3.6665, 3.6665, 23.6112 Å; angles 90.00, 90.00, 120.00 degrees
Last column: nearest neighbours and their distance in Å.
Space group R-3m (No. 166, hexagonal axes)
Symmetry-distinct sites (fractional):
Sc: 0.0000 0.0000 0.0000 (multiplicity 3)  2 Cl 2.28
Cl: 0.0000 0.0000 0.0967 (multiplicity 6)  1 Sc 2.28
O: 0.0000 0.0000 0.5000 (multiplicity 3)  6 Cl 2.69

***

# 2
Material: FeCuOs2
Method: DFT, SCAN
State: PBEsol geometry

Calculated values
Crystal system: cubic

Cell lengths 5.8547, 5.8547, 5.8547 Å; angles 90.00, 90.00, 90.00 degrees
Last column: nearest neighbours and their distance in Å.
Space group Fm-3m (No. 225)
Symmetry-distinct sites (fractional):
Fe: 0.0000 0.0000 0.0000 (multiplicity 4)  8 Os 2.54
Cu: 0.0000 0.0000 0.5000 (multiplicity 4)  8 Os 2.54
Os: 0.2500 0.2500 0.2500 (multiplicity 8)  4 Fe 2.54, 4 Cu 2.54

***

Number 1: electronic total energy -110.83 eV per cell. Number 2: electronic total energy -703.78 eV per cell.